Entry 1:
# Y2AlGa6, optimized geometry, DFT PBE
# - Calculated formation energy: -25.9 kJ/mol of atoms
# - DOS at the Fermi energy: 0.475 states/eV per atom
# - Relative energy among the computed polymorphs: 0.208 eV per atom
data_Y2AlGa6
_chemical_formula_sum 'Y4 Al2 Ga12'
_cell_length_a 7.278
_cell_length_b 15.462
_cell_length_c 3.361
_cell_angle_alpha 90.00
_cell_angle_beta 90.00
_cell_angle_gamma 90.00
_space_group_name_H-M_alt 'C m m m'
_space_group_IT_number 65
_space_group_name_Hall '-C 2 2'
loop_
_atom_site_label
_atom_site_type_symbol
_atom_site_fract_x
_atom_site_fract_y
_atom_site_fract_z
_atom_site_occupancy
Y1 Y 0.000 0.200 0.000 1
Al1 Al 0.000 0.500 0.500 1
Ga1 Ga 0.181 0.356 0.500 1
Ga2 Ga 0.189 0.000 0.000 1

=====

Entry 2:
# Y8Al2Ga, optimized geometry, DFT PBE
# - Calculated formation energy: -23.9 kJ/mol of atoms
# - DOS at the Fermi energy: 1.139 states/eV per atom
data_Y8Al2Ga
_chemical_formula_sum 'Y16 Al4 Ga2'
_cell_length_a 18.559
_cell_length_b 5.071
_cell_length_c 6.752
_cell_angle_alpha 90.00
_cell_angle_beta 103.78
_cell_angle_gamma 90.00
_space_group_name_H-M_alt 'C 1 2/m 1'
_space_group_IT_number 12
loop_
_space_group_symop_operation_xyz
'x,y,z'
'-x,-y,-z'
'-x,y,-z'
'x,-y,z'
'x+1/2,y+1/2,z'
'-x+1/2,-y+1/2,-z'
'-x+1/2,y+1/2,-z'
'x+1/2,-y+1/2,z'
loop_
_atom_site_label
_atom_site_type_symbol
_atom_site_fract_x
_atom_site_fract_y
_atom_site_fract_z
_atom_site_occupancy
Y1 Y 0.022 0.000 0.273 1
Y2 Y 0.093 0.500 0.961 1
Y3 Y 0.157 0.500 0.472 1
Y4 Y 0.208 0.000 0.805 1
Al1 Al 0.186 0.000 0.245 1
Ga1 Ga 0.000 0.500 0.500 1

=====

Entry 3:
# Y6Al2Ga, optimized geometry, DFT PBE
# - Calculated formation energy: -32.3 kJ/mol of atoms
# - DOS at the Fermi energy: 0.780 states/eV per atom
data_Y6Al2Ga
_chemical_formula_sum 'Y24 Al8 Ga4'
_cell_length_a 9.677
_cell_length_b 9.859
_cell_length_c 10.394
_cell_angle_alpha 90.00
_cell_angle_beta 90.00
_cell_angle_gamma 90.00
_space_group_name_H-M_alt 'I m m m'
_space_group_IT_number 71
_space_group_name_Hall '-I 2 2'
loop_
_atom_site_label
_atom_site_type_symbol
_atom_site_fract_x
_atom_site_fract_y
_atom_site_fract_z
_atom_site_occupancy
Y1 Y 0.000 0.211 0.176 1
Y2 Y 0.177 0.235 0.500 1
Y3 Y 0.196 0.500 0.252 1
Al1 Al 0.000 0.000 0.377 1
Al2 Al 0.143 0.000 0.000 1
Ga1 Ga 0.000 0.500 0.000 1
Ga2 Ga 0.000 0.500 0.500 1